## SnO2 (GGA-PBEsol)

Data for SnO2 after structural relaxation.

Calculated values
* formation energy (no corrections): -1505.0 meV per atom
* space-group type: P6_3/mmc, No. 194

Lattice parameters (Å, degrees): 3.1958 3.1958 10.9622 90.00 90.00 120.00
Last column: nearest neighbours and their distance in Å.
Fractional coordinates of all 6 atoms:
Sn: 0.0000 0.0000 0.0000  6 O 2.10
Sn: 0.0000 0.0000 0.5000  6 O 2.10
O: 0.3333 0.6667 0.0919  3 Sn 2.10
O: 0.3333 0.6667 0.4081  3 Sn 2.10
O: 0.6667 0.3333 0.5919  3 Sn 2.10
O: 0.6667 0.3333 0.9081  3 Sn 2.10

---

## SnO2 (GGA-PBEsol)

Data for SnO2 after structural relaxation.

Calculated values
* formation energy (no corrections): -1681.9 meV per atom
* space-group type: Pbcn, No. 60

Lattice parameters (Å, degrees): 4.7360 5.7703 15.9615 90.00 90.00 90.00
Last column: nearest neighbours and their distance in Å.
Fractional coordinates of all 36 atoms:
Sn: 0.0000 0.0273 0.2500  6 O 2.04-2.10
Sn: 0.0000 0.9727 0.7500  6 O 2.04-2.10
Sn: 0.0030 0.3471 0.0841  6 O 2.07-2.08
Sn: 0.0030 0.6529 0.5841  6 O 2.07-2.08
Sn: 0.4970 0.1529 0.5841  6 O 2.07-2.08
Sn: 0.4970 0.8471 0.0841  6 O 2.07-2.08
Sn: 0.5000 0.4727 0.7500  6 O 2.04-2.10
Sn: 0.5000 0.5273 0.2500  6 O 2.04-2.10
Sn: 0.5030 0.1529 0.9159  6 O 2.07-2.08
Sn: 0.5030 0.8471 0.4159  6 O 2.07-2.08
Sn: 0.9970 0.3471 0.4159  6 O 2.07-2.08
Sn: 0.9970 0.6529 0.9159  6 O 2.07-2.08
O: 0.2088 0.3755 0.5292  3 Sn 2.07
O: 0.2088 0.6245 0.0292  3 Sn 2.07
O: 0.2136 0.0718 0.3619  3 Sn 2.07-2.08
O: 0.2136 0.9282 0.8619  3 Sn 2.07-2.08
O: 0.2281 0.3002 0.1946  3 Sn 2.04-2.10
O: 0.2281 0.6998 0.6946  3 Sn 2.04-2.10
O: 0.2719 0.1998 0.6946  3 Sn 2.04-2.10
O: 0.2719 0.8002 0.1946  3 Sn 2.04-2.10
O: 0.2864 0.4282 0.8619  3 Sn 2.07-2.08
O: 0.2864 0.5718 0.3619  3 Sn 2.07-2.08
O: 0.2912 0.1245 0.0292  3 Sn 2.07
O: 0.2912 0.8755 0.5292  3 Sn 2.07
O: 0.7088 0.1245 0.4708  3 Sn 2.07
O: 0.7088 0.8755 0.9708  3 Sn 2.07
O: 0.7136 0.4282 0.6381  3 Sn 2.07-2.08
O: 0.7136 0.5718 0.1381  3 Sn 2.07-2.08
O: 0.7281 0.1998 0.8054  3 Sn 2.04-2.10
O: 0.7281 0.8002 0.3054  3 Sn 2.04-2.10
O: 0.7719 0.3002 0.3054  3 Sn 2.04-2.10
O: 0.7719 0.6998 0.8054  3 Sn 2.04-2.10
O: 0.7864 0.0718 0.1381  3 Sn 2.07-2.08
O: 0.7864 0.9282 0.6381  3 Sn 2.07-2.08
O: 0.7912 0.3755 0.9708  3 Sn 2.07
O: 0.7912 0.6245 0.4708  3 Sn 2.07

---

## SnO2 (GGA-PBEsol)

Data for SnO2 after structural relaxation.

Calculated values
* formation energy (no corrections): -1691.9 meV per atom
* space-group type: P4_2/mnm, No. 136

Lattice parameters (Å, degrees): 4.7721 4.7721 3.2159 90.00 90.00 90.00
Last column: nearest neighbours and their distance in Å.
Fractional coordinates of all 6 atoms:
Sn: 0.0000 0.0000 0.0000  6 O 2.07
Sn: 0.5000 0.5000 0.5000  6 O 2.07
O: 0.1937 0.1937 0.5000  3 Sn 2.07
O: 0.3063 0.6937 0.0000  3 Sn 2.07
O: 0.6937 0.3063 0.0000  3 Sn 2.07
O: 0.8063 0.8063 0.5000  3 Sn 2.07

---

## SnO2 (GGA-PBEsol)

Data for SnO2 after structural relaxation.

Calculated values
* formation energy (no corrections): -1617.0 meV per atom
* space-group type: I4_1/amd, No. 141

Lattice parameters (Å, degrees): 5.8628 5.8628 5.8628 139.96 139.96 57.92
Last column: nearest neighbours and their distance in Å.
Fractional coordinates of all 6 atoms:
Sn: 0.3750 0.6250 0.7500  6 O 2.06-2.08
Sn: 0.6250 0.3750 0.2500  6 O 2.06-2.08
O: 0.1720 0.4220 0.7500  3 Sn 2.06-2.08
O: 0.4220 0.1720 0.2500  3 Sn 2.06-2.08
O: 0.5780 0.8280 0.7500  3 Sn 2.06-2.08
O: 0.8280 0.5780 0.2500  3 Sn 2.06-2.08

---

## SnO2 (GGA-PBEsol)

Data for SnO2 after structural relaxation.

Calculated values
* formation energy (no corrections): -1609.4 meV per atom
* space-group type: I4/m, No. 87

Lattice parameters (Å, degrees): 7.7234 7.7234 7.7234 92.46 92.46 156.08
Last column: nearest neighbours and their distance in Å.
Fractional coordinates of all 12 atoms:
Sn: 0.1507 0.6663 0.8169  6 O 2.05-2.12
Sn: 0.3337 0.1507 0.4844  6 O 2.05-2.12
Sn: 0.6663 0.8493 0.5156  6 O 2.05-2.12
Sn: 0.8493 0.3337 0.1831  6 O 2.05-2.12
O: 0.0413 0.3399 0.3813  3 Sn 2.05-2.09
O: 0.2911 0.3442 0.6353  3 Sn 2.08-2.12
O: 0.3399 0.9587 0.2986  3 Sn 2.05-2.09
O: 0.3442 0.7089 0.0531  3 Sn 2.08-2.12
O: 0.6558 0.2911 0.9469  3 Sn 2.08-2.12
O: 0.6601 0.0413 0.7014  3 Sn 2.05-2.09
O: 0.7089 0.6558 0.3647  3 Sn 2.08-2.12
O: 0.9587 0.6601 0.6187  3 Sn 2.05-2.09

---

## SnO2 (GGA-PBEsol)

Data for SnO2 after structural relaxation.

Calculated values
* formation energy (no corrections): -1593.7 meV per atom
* space-group type: Pnma, No. 62

Lattice parameters (Å, degrees): 9.1805 3.1956 11.2623 90.00 90.00 90.00
Last column: nearest neighbours and their distance in Å.
Fractional coordinates of all 24 atoms:
Sn: 0.0594 0.2500 0.1145  6 O 2.06-2.12
Sn: 0.0794 0.2500 0.6059  6 O 2.07-2.11
Sn: 0.4206 0.7500 0.1059  6 O 2.07-2.11
Sn: 0.4406 0.7500 0.6145  6 O 2.06-2.12
Sn: 0.5594 0.2500 0.3855  6 O 2.06-2.12
Sn: 0.5794 0.2500 0.8941  6 O 2.07-2.11
Sn: 0.9206 0.7500 0.3941  6 O 2.07-2.11
Sn: 0.9406 0.7500 0.8855  6 O 2.06-2.12
O: 0.0225 0.7500 0.7149  3 Sn 2.06-2.08
O: 0.0767 0.2500 0.9268  3 Sn 2.08-2.12
O: 0.1176 0.7500 0.4912  3 Sn 2.08-2.11
O: 0.2013 0.7500 0.1493  3 Sn 2.07-2.10
O: 0.2987 0.2500 0.6493  3 Sn 2.07-2.10
O: 0.3824 0.2500 0.9912  3 Sn 2.08-2.11
O: 0.4233 0.7500 0.4268  3 Sn 2.08-2.12
O: 0.4775 0.2500 0.2149  3 Sn 2.06-2.08
O: 0.5225 0.7500 0.7851  3 Sn 2.06-2.08
O: 0.5767 0.2500 0.5732  3 Sn 2.08-2.12
O: 0.6176 0.7500 0.0088  3 Sn 2.08-2.11
O: 0.7013 0.7500 0.3507  3 Sn 2.07-2.10
O: 0.7987 0.2500 0.8507  3 Sn 2.07-2.10
O: 0.8824 0.2500 0.5088  3 Sn 2.08-2.11
O: 0.9233 0.7500 0.0732  3 Sn 2.08-2.12
O: 0.9775 0.2500 0.2851  3 Sn 2.06-2.08

---

## SrSnO3 (GGA-PBEsol)

Data for SrSnO3 after structural relaxation.

Calculated values
* formation energy (no corrections): -2275.4 meV per atom
* space-group type: Imma, No. 74

Lattice parameters (Å, degrees): 5.7195 5.7195 5.7195 120.06 90.48 119.39
Last column: nearest neighbours and their distance in Å.
Fractional coordinates of all 10 atoms:
Sr: 0.2593 0.0093 0.2500  5 O 2.48-2.59
Sr: 0.7407 0.9907 0.7500  5 O 2.48-2.59
Sn: 0.0000 0.5000 0.5000  6 O 2.06-2.07
Sn: 0.5000 0.5000 0.0000  6 O 2.06-2.07
O: 0.1703 0.4203 0.7500  2 Sn 2.07
O: 0.2946 0.0000 0.7946  2 Sn 2.06
O: 0.2946 0.5000 0.2946  2 Sn 2.06
O: 0.7054 0.0000 0.2054  2 Sn 2.06
O: 0.7054 0.5000 0.7054  2 Sn 2.06
O: 0.8297 0.5797 0.2500  2 Sn 2.07

---

## Sr2SnO4 (GGA-PBEsol)

Data for Sr2SnO4 after structural relaxation.

Calculated values
* ΔE to the lowest computed polymorph: 2 meV per atom
* formation energy (no corrections): -2438.8 meV per atom
* space-group type: Cmce, No. 64

Lattice parameters (Å, degrees): 6.8389 6.8389 5.8432 90.00 90.00 130.59
Last column: nearest neighbours and their distance in Å.
Fractional coordinates of all 14 atoms:
Sr: 0.1469 0.8531 0.9850  4 O 2.39-2.63
Sr: 0.3531 0.6469 0.4850  4 O 2.39-2.63
Sr: 0.6469 0.3531 0.5150  4 O 2.39-2.63
Sr: 0.8531 0.1469 0.0150  4 O 2.39-2.63
Sn: 0.0000 0.0000 0.5000  6 O 2.06
Sn: 0.5000 0.5000 0.0000  6 O 2.06
O: 0.1636 0.8364 0.5555  1 Sn 2.06
O: 0.2293 0.2707 0.7500  2 Sn 2.06
O: 0.2707 0.2293 0.2500  2 Sn 2.06
O: 0.3364 0.6636 0.0555  1 Sn 2.06
O: 0.6636 0.3364 0.9445  1 Sn 2.06
O: 0.7293 0.7707 0.7500  2 Sn 2.06
O: 0.7707 0.7293 0.2500  2 Sn 2.06
O: 0.8364 0.1636 0.4445  1 Sn 2.06

---

## Sr3SnO (GGA-PBEsol)

Data for Sr3SnO after structural relaxation.

Calculated values
* formation energy (no corrections): -1560.9 meV per atom
* space-group type: Pm-3m, No. 221

Lattice parameters (Å, degrees): 5.0993 5.0993 5.0993 90.00 90.00 90.00
Last column: nearest neighbours and their distance in Å.
Fractional coordinates of all 5 atoms:
Sr: 0.0000 0.0000 0.5000  2 O 2.55
Sr: 0.0000 0.5000 0.0000  2 O 2.55
Sr: 0.5000 0.0000 0.0000  2 O 2.55
Sn: 0.5000 0.5000 0.5000  12 Sr 3.61
O: 0.0000 0.0000 0.0000  6 Sr 2.55